Entry 1:
! SiB3, relaxed, DFT GGA-PBE; values from VASP
! Density of states at the Fermi level in states/eV per cell: 0.12
! ΔE_f (raw) in eV per atom: 0.442
! ΔE to the lowest computed polymorph in meV/atom: 483.7
! Spin magnetization in μB/f.u.: 0.0
! Raw total energy in eV per atom: -5.922
! Crystal system: monoclinic
! SG: Pm, No. 6
&SYSTEM
  ibrav = 0, nat = 4, ntyp = 2
/
ATOMIC_SPECIES
Si 28.09 Si.upf
B 10.81 B.upf
CELL_PARAMETERS angstrom
3.377 0.000 0.000
0.000 2.846 0.000
-0.093 0.000 4.144
ATOMIC_POSITIONS angstrom
Si 0.000 0.000 0.000
B 0.119 0.000 2.134
B 0.866 1.423 1.366
B 1.805 0.000 1.388

Entry 2:
! BeOs2Rh, relaxed, DFT GGA-PBE; values from VASP
! Density of states at the Fermi level in states/eV per cell: 2.88
! E_form in eV/f.u.: 0.42
! Spin magnetization in μB/f.u.: 0.0
! Raw total energy in eV per atom: -8.278
! Crystal system: trigonal
! SG: R-3m, No. 166
&SYSTEM
  ibrav = 0, nat = 4, ntyp = 3
/
ATOMIC_SPECIES
Be 9.01 Be.upf
Os 190.23 Os.upf
Rh 102.91 Rh.upf
CELL_PARAMETERS angstrom
1.345 0.776 8.386
-1.345 0.776 8.386
0.000 -1.553 8.386
ATOMIC_POSITIONS angstrom
Be 0.000 0.000 0.000
Os 0.000 0.000 6.435
Os 0.000 0.000 18.723
Rh 0.000 0.000 12.579

Q: density of states at the Fermi level of number 1 (SiB3)?
A: 0.12 states/eV per cell

Q: Among the records above, which one has the highest raw total energy?
A: SiB3

Copy entry 2 word for word.
! BeOs2Rh, relaxed, DFT GGA-PBE; values from VASP
! Density of states at the Fermi level in states/eV per cell: 2.88
! E_form in eV/f.u.: 0.42
! Spin magnetization in μB/f.u.: 0.0
! Raw total energy in eV per atom: -8.278
! Crystal system: trigonal
! SG: R-3m, No. 166
&SYSTEM
  ibrav = 0, nat = 4, ntyp = 3
/
ATOMIC_SPECIES
Be 9.01 Be.upf
Os 190.23 Os.upf
Rh 102.91 Rh.upf
CELL_PARAMETERS angstrom
1.345 0.776 8.386
-1.345 0.776 8.386
0.000 -1.553 8.386
ATOMIC_POSITIONS angstrom
Be 0.000 0.000 0.000
Os 0.000 0.000 6.435
Os 0.000 0.000 18.723
Rh 0.000 0.000 12.579